A relaxed structure of Sm2Y2CI4Br. Source: the Open Quantum Materials Database, functional PBE.

Lattice parameters (Å, degrees): 9.758 9.758 8.458 102.26 102.26 23.42
Fractional coordinates of all 10 atoms:
Sm: 0.132 0.132 0.066
Sm: 0.868 0.868 0.934
Y: 0.500 0.500 0.196
Y: 0.500 0.500 0.804
C: 0.000 0.000 0.000
I: 0.334 0.334 0.193
I: 0.338 0.338 0.646
I: 0.662 0.662 0.354
I: 0.666 0.666 0.807
Br: 0.000 0.000 0.500

Output
Its space group is C2/m. As for the energy relative to the lowest polymorph listed for this composition: 0.0152 eV per atom.

A relaxed structure of Sm2Y2CI4Br. Source: the Open Quantum Materials Database, functional PBE.

Lattice parameters (Å, degrees): 9.885 9.885 8.451 101.88 101.88 23.23
Fractional coordinates of all 10 atoms:
Sm: 0.001 0.001 0.298
Sm: 0.999 0.999 0.702
Y: 0.372 0.372 0.437
Y: 0.628 0.628 0.563
C: 0.500 0.500 0.500
I: 0.165 0.165 0.842
I: 0.169 0.169 0.322
I: 0.831 0.831 0.678
I: 0.835 0.835 0.158
Br: 0.500 0.500 0.000

Output
Its space group is C2/m. As for the energy relative to the lowest polymorph listed for this composition: 0.0000 eV per atom.

A relaxed structure of K2IrCBr5O. Source: the Open Quantum Materials Database, functional PBE.

Lattice parameters (Å, degrees): 14.455 10.701 7.369 90.00 90.00 90.00
Fractional coordinates of all 40 atoms:
K: 0.146 0.001 0.153
K: 0.146 0.499 0.153
K: 0.354 0.501 0.653
K: 0.354 0.999 0.653
K: 0.646 0.001 0.347
K: 0.646 0.499 0.347
K: 0.854 0.501 0.847
K: 0.854 0.999 0.847
Ir: 0.121 0.750 0.701
Ir: 0.379 0.250 0.201
Ir: 0.621 0.750 0.799
Ir: 0.879 0.250 0.299
C: 0.054 0.250 0.577
C: 0.446 0.750 0.077
C: 0.554 0.250 0.923
C: 0.946 0.750 0.423
Br: 0.013 0.750 0.972
Br: 0.118 0.515 0.697
Br: 0.118 0.985 0.697
Br: 0.225 0.750 0.429
Br: 0.245 0.250 0.401
Br: 0.255 0.750 0.901
Br: 0.275 0.250 0.929
Br: 0.382 0.015 0.197
Br: 0.382 0.485 0.197
Br: 0.487 0.250 0.472
Br: 0.513 0.750 0.528
Br: 0.618 0.515 0.803
Br: 0.618 0.985 0.803
Br: 0.725 0.750 0.071
Br: 0.745 0.250 0.099
Br: 0.755 0.750 0.599
Br: 0.775 0.250 0.571
Br: 0.882 0.015 0.303
Br: 0.882 0.485 0.303
Br: 0.987 0.250 0.028
O: 0.007 0.750 0.526
O: 0.493 0.250 0.026
O: 0.507 0.750 0.974
O: 0.993 0.250 0.474

Output
The raw total energy comes out at -4.157 eV/atom. Its space group is Pnma.

A relaxed structure of K2OsCBr5O. Source: the Open Quantum Materials Database, functional PBE.

Lattice parameters (Å, degrees): 14.477 7.375 10.747 90.00 90.00 90.00
Fractional coordinates of all 40 atoms:
K: 0.143 0.175 0.000
K: 0.145 0.173 0.500
K: 0.355 0.673 0.000
K: 0.357 0.675 0.500
K: 0.643 0.325 0.000
K: 0.645 0.327 0.500
K: 0.855 0.827 0.000
K: 0.857 0.825 0.500
Os: 0.114 0.690 0.749
Os: 0.386 0.190 0.249
Os: 0.614 0.810 0.749
Os: 0.886 0.310 0.249
C: 0.020 0.522 0.749
C: 0.480 0.022 0.249
C: 0.520 0.978 0.749
C: 0.980 0.478 0.249
Br: 0.004 0.959 0.750
Br: 0.113 0.695 0.983
Br: 0.117 0.703 0.515
Br: 0.230 0.435 0.748
Br: 0.247 0.417 0.253
Br: 0.253 0.917 0.753
Br: 0.270 0.935 0.248
Br: 0.383 0.203 0.015
Br: 0.387 0.195 0.483
Br: 0.496 0.459 0.250
Br: 0.504 0.541 0.750
Br: 0.613 0.805 0.983
Br: 0.617 0.797 0.515
Br: 0.730 0.065 0.748
Br: 0.747 0.083 0.253
Br: 0.753 0.583 0.753
Br: 0.770 0.565 0.248
Br: 0.883 0.297 0.015
Br: 0.887 0.305 0.483
Br: 0.996 0.041 0.250
O: 0.036 0.592 0.250
O: 0.464 0.092 0.750
O: 0.536 0.908 0.250
O: 0.964 0.408 0.750

Output
The raw total energy comes out at -4.553 eV/atom. Its space group is Pna2_1.

A relaxed structure of La2Nd2CBr5. Source: the Open Quantum Materials Database, functional PBE.

Lattice parameters (Å, degrees): 9.466 9.466 8.446 103.57 103.57 24.36
Fractional coordinates of all 10 atoms:
La: 0.144 0.144 0.079
La: 0.856 0.856 0.921
Nd: 0.499 0.499 0.205
Nd: 0.501 0.501 0.795
C: 0.000 0.000 0.000
Br: 0.000 0.000 0.500
Br: 0.331 0.331 0.180
Br: 0.337 0.337 0.648
Br: 0.663 0.663 0.352
Br: 0.669 0.669 0.820

Output
The raw total energy comes out at -5.160 eV/atom. Its space group is C2/m.

A relaxed structure of La2Nd2C2Br5. Source: the Open Quantum Materials Database, functional PBE.

Lattice parameters (Å, degrees): 10.006 10.006 8.387 104.38 104.38 23.03
Fractional coordinates of all 11 atoms:
La: 0.001 0.001 0.296
La: 0.999 0.999 0.704
Nd: 0.344 0.344 0.398
Nd: 0.656 0.656 0.602
C: 0.463 0.463 0.476
C: 0.537 0.537 0.524
Br: 0.162 0.162 0.867
Br: 0.169 0.169 0.339
Br: 0.500 0.500 0.000
Br: 0.831 0.831 0.661
Br: 0.838 0.838 0.133

Output
Its space group is C2/m. As for the energy relative to the lowest polymorph listed for this composition: 0.0000 eV per atom.

- Number 1 is which compound?
  Sm2Y2CI4Br